DFT (GGA-PBEsol) results for a relaxed MnV2O6 crystal.

E in eV/cell: -159.71
Crystal system: monoclinic
Energy relative to the elements, uncorrected in eV per atom: -2.148
Space group: No. 15

The structure in POSCAR format:
```
MnV2O6
1.0
4.981 -4.493 0.000
4.981 4.493 0.000
-2.072 0.000 5.402
Mn V O
2 4 12
direct
0.085 0.915 0.750
0.915 0.085 0.250
0.207 0.390 0.751
0.390 0.207 0.251
0.610 0.793 0.749
0.793 0.610 0.249
0.038 0.192 0.636
0.087 0.621 0.770
0.192 0.038 0.136
0.350 0.371 0.049
0.371 0.350 0.549
0.379 0.913 0.730
0.621 0.087 0.270
0.629 0.650 0.451
0.650 0.629 0.951
0.808 0.962 0.864
0.913 0.379 0.230
0.962 0.808 0.364
```



DFT (GGA-PBEsol) results for a relaxed K2BeCo crystal.

E in eV/cell: -16.58
Crystal system: tetragonal
DFT formation energy in meV/atom: 1428
Space group: No. 122

The structure in POSCAR format:
```
K2BeCo
1.0
-1.941 1.941 10.921
1.941 -1.941 10.921
1.941 1.941 -10.921
K Be Co
4 2 2
direct
0.123 0.625 0.998
0.375 0.373 0.498
0.627 0.125 0.002
0.875 0.877 0.502
0.250 0.750 0.500
0.500 0.500 0.000
0.000 0.000 0.000
0.750 0.250 0.500
```